This record from Alexandria describes crystalline Cs2Bi2Pd at its relaxed geometry. The functional is GGA-PBEsol.

**Spin magnetization**: 0.00 μB per formula unit
**ΔE_f**: -0.3957 eV/atom
**Calculated volume**: 39.32 A^3/atom

a b c (Å): 6.8781 7.5433 8.4644
angles (deg): 63.54 90.00 90.00
Positions (direct):
Cs 0.7500 0.6062 0.7876
Cs 0.2500 0.3938 0.2124
Cs 0.7500 0.1936 0.6127
Cs 0.2500 0.8064 0.3873
Bi 0.7500 0.0964 0.2010
Bi 0.2500 0.2974 0.7990
Bi 0.2500 0.9036 0.7990
Bi 0.7500 0.7026 0.2010
Pd 0.5000 0.0000 0.0000
Pd 0.0000 0.0000 0.0000